Compound: Pm2Ga3
Source: Alexandria via LeMat-Bulk
Functional: PBE-GGA
Structure: relaxed

Energy above the most stable polymorph in this dataset in meV per atom: 56.2
Fermi-level density of states in states/eV/f.u.: 3.0
Symmetry: P4/mbm (127)
VASP energy in eV/atom: -4.3157

Lattice parameters (Å, degrees): 7.1380 7.1380 4.5996 90.00 90.00 90.00
Closest atoms and distances in Å follow each position.
Element x y z (fractional)
1 Pm 0.1732 0.3268 0.0000  6 Ga 3.04-3.17
2 Pm 0.3268 0.8268 0.0000  6 Ga 3.04-3.17
3 Pm 0.6732 0.1732 0.0000  6 Ga 3.04-3.17
4 Pm 0.8268 0.6732 0.0000  6 Ga 3.04-3.17
5 Ga 0.0000 0.0000 0.5000  4 Ga 2.80
6 Ga 0.1294 0.6294 0.5000  3 Ga 2.61-2.80
7 Ga 0.3706 0.1294 0.5000  3 Ga 2.61-2.80
8 Ga 0.5000 0.5000 0.5000  4 Ga 2.80
9 Ga 0.6294 0.8706 0.5000  3 Ga 2.61-2.80
10 Ga 0.8706 0.3706 0.5000  3 Ga 2.61-2.80

***

Compound: MgZr2AgN
Source: Alexandria via LeMat-Bulk
Functional: PBE-GGA
Structure: relaxed

E_form (uncorrected) in eV/atom: -0.58
Fermi-level density of states in states/eV/f.u.: 3.3
Symmetry: P4/mmm (123)
VASP energy in eV/atom: -6.5566

Lattice parameters (Å, degrees): 4.4732 4.4732 4.3410 90.00 90.00 90.00
Closest atoms and distances in Å follow each position.
Element x y z (fractional)
1 Mg 0.0000 0.0000 0.0000  2 N 2.17
2 Zr 0.0000 0.5000 0.5000  2 N 2.24
3 Zr 0.5000 0.0000 0.5000  2 N 2.24
4 Ag 0.5000 0.5000 0.0000  8 Zr 3.12, 4 Mg 3.16
5 N 0.0000 0.0000 0.5000  2 Mg 2.17, 4 Zr 2.24

***

Compound: La3TbCe2P6
Source: Alexandria via LeMat-Bulk
Functional: PBE-GGA
Structure: relaxed

Fermi-level density of states in states/eV/f.u.: 10.3
Symmetry: C2/m (12)
VASP energy in eV/atom: -6.8658

Lattice parameters (Å, degrees): 7.2111 7.2111 7.2354 99.56 99.56 120.00
Closest atoms and distances in Å follow each position.
Element x y z (fractional)
1 La 0.0000 0.0000 0.0000  6 P 3.00
2 La 0.3335 0.6665 0.0000  6 P 3.00
3 La 0.6665 0.3335 0.0000  6 P 3.00
4 Tb 0.5000 0.5000 0.5000  6 P 2.90
5 Ce 0.1667 0.8333 0.5000  6 P 2.89-2.90
6 Ce 0.8333 0.1667 0.5000  6 P 2.89-2.90
7 P 0.0874 0.4212 0.2636  2 Ce 2.89, 1 Tb 2.90, 3 La 3.00
8 P 0.2452 0.2452 0.7370  2 Ce 2.90, 1 Tb 2.90, 3 La 3.00
9 P 0.4212 0.0874 0.2636  2 Ce 2.89, 1 Tb 2.90, 3 La 3.00
10 P 0.5788 0.9126 0.7364  2 Ce 2.89, 1 Tb 2.90, 3 La 3.00
11 P 0.7548 0.7548 0.2630  2 Ce 2.90, 1 Tb 2.90, 3 La 3.00
12 P 0.9126 0.5788 0.7364  2 Ce 2.89, 1 Tb 2.90, 3 La 3.00

***

Compound: BeSbTe2S
Source: Alexandria via LeMat-Bulk
Functional: PBE-GGA
Structure: relaxed

Energy above the most stable polymorph in this dataset in meV per atom: 0.0
E_form (uncorrected) in eV/atom: 0.57
Fermi-level density of states in states/eV/f.u.: 3.5
Symmetry: P4/mmm (123)
VASP energy in eV/atom: -3.0800

Lattice parameters (Å, degrees): 4.8406 4.8406 5.0881 90.00 90.00 90.00
Closest atoms and distances in Å follow each position.
Element x y z (fractional)
1 Be 0.0000 0.0000 0.0000  4 Te 2.42, 2 Sb 2.54
2 Sb 0.0000 0.0000 0.5000  2 Be 2.54
3 Te 0.0000 0.5000 0.0000  2 Be 2.42
4 Te 0.5000 0.0000 0.0000  2 Be 2.42
5 S 0.5000 0.5000 0.5000  4 Sb 3.42, 8 Te 3.51